ScAlCr2: optimized geometry, GGA-PBEsol.

Computed properties:
Mass density: 5.162 g cm⁻³
Density of states at the Fermi level: 3.33 states/eV/f.u.
Energy of formation from the pure elements: 310 meV per atom
Total DFT energy (no corrections): -7.486 eV per atom
Total magnetization: 0.00 μB/atom

Unit cell a=2.5998 b=2.5998 c=8.3738 alpha=90.00 beta=90.00 gamma=90.00
With the nearest neighbours (Å) after each atom.
Fractional coordinates of all 4 atoms:
Sc (0.0000, 0.0000, 0.0000)  4 Sc 2.60
Al (0.0000, 0.0000, 0.5000)  4 Al 2.60, 8 Cr 2.65
Cr (0.5000, 0.5000, 0.2720)  4 Cr 2.60, 4 Al 2.65
Cr (0.5000, 0.5000, 0.7280)  4 Cr 2.60, 4 Al 2.65

=====

AlCrSe: optimized geometry, GGA-PBEsol.

Computed properties:
Raw formation energy: -73.1 meV/atom
Mass density: 5.851 g cm⁻³
Density of states at the Fermi level: 1.79 states/eV/f.u.
Total DFT energy (no corrections): -6.134 eV per atom
Total magnetization: 0.27 μB/atom

Unit cell a=5.3513 b=5.3513 c=5.3513 alpha=147.19 beta=147.19 gamma=47.09
With the nearest neighbours (Å) after each atom.
Fractional coordinates of all 3 atoms:
Al (0.0000, 0.0000, 0.0000)  4 Cr 2.68, 1 Se 2.78
Cr (0.6648, 0.6648, 0.0000)  4 Se 2.44, 4 Al 2.68
Se (0.2838, 0.2838, 0.0000)  4 Cr 2.44

=====

AlCr2Si: optimized geometry, GGA-PBEsol.

Computed properties:
Raw formation energy: -34.8 meV/atom
Mass density: 5.371 g cm⁻³
Density of states at the Fermi level: 5.02 states/eV/f.u.
Total DFT energy (no corrections): -7.615 eV per atom
Total magnetization: 0.63 μB/atom

Unit cell a=4.4538 b=4.4538 c=4.4538 alpha=131.03 beta=131.03 gamma=71.76
With the nearest neighbours (Å) after each atom.
Fractional coordinates of all 4 atoms:
Al (0.0000, 0.0000, 0.0000)  8 Cr 2.58, 4 Si 2.61
Cr (0.2500, 0.7500, 0.5000)  4 Al 2.58, 4 Si 2.58, 4 Cr 2.61
Cr (0.7500, 0.2500, 0.5000)  4 Al 2.58, 4 Si 2.58, 4 Cr 2.61
Si (0.5000, 0.5000, 0.0000)  8 Cr 2.58, 4 Al 2.61

=====

Al2CrSi: optimized geometry, GGA-PBEsol.

Computed properties:
Raw formation energy: 236.1 meV/atom
Mass density: 3.987 g cm⁻³
Density of states at the Fermi level: 2.92 states/eV/f.u.
Total DFT energy (no corrections): -5.807 eV per atom
Total magnetization: 0.59 μB/atom

Unit cell a=4.2899 b=4.2899 c=4.2899 alpha=60.00 beta=60.00 gamma=60.00
With the nearest neighbours (Å) after each atom.
Fractional coordinates of all 4 atoms:
Al (0.0000, 0.0000, 0.0000)  4 Cr 2.63, 4 Al 2.63
Al (0.2500, 0.2500, 0.2500)  4 Al 2.63, 4 Si 2.63
Cr (0.7500, 0.7500, 0.7500)  4 Al 2.63, 4 Si 2.63
Si (0.5000, 0.5000, 0.5000)  4 Cr 2.63, 4 Al 2.63

=====

AlCr2Si: optimized geometry, GGA-PBEsol.

Computed properties:
Raw formation energy: -113.0 meV/atom
Mass density: 5.345 g cm⁻³
Density of states at the Fermi level: 2.23 states/eV/f.u.
Total DFT energy (no corrections): -7.694 eV per atom
Total magnetization: 0.06 μB/atom

Unit cell a=4.5387 b=4.5387 c=4.5387 alpha=132.80 beta=132.80 gamma=68.97
With the nearest neighbours (Å) after each atom.
Fractional coordinates of all 4 atoms:
Al (0.0000, 0.0000, 0.0000)  8 Cr 2.57-2.61, 4 Si 2.61
Cr (0.5000, 0.5000, 0.0000)  4 Al 2.57, 4 Cr 2.61, 4 Si 2.61
Cr (0.7500, 0.2500, 0.5000)  4 Si 2.57, 4 Cr 2.61, 4 Al 2.61
Si (0.2500, 0.7500, 0.5000)  8 Cr 2.57-2.61, 4 Al 2.61

=====

Al9Cr3Si: optimized geometry, GGA-PBEsol.

Computed properties:
Raw formation energy: -195.5 meV/atom
Mass density: 3.797 g cm⁻³
Density of states at the Fermi level: 5.60 states/eV/f.u.
Total DFT energy (no corrections): -5.834 eV per atom
Total magnetization: 0.00 μB/atom

Unit cell a=7.4547 b=7.4547 c=7.7587 alpha=90.00 beta=90.00 gamma=120.00
With the nearest neighbours (Å) after each atom.
Fractional coordinates of all 26 atoms:
Al (0.0861, 0.5431, 0.2500)  2 Cr 2.45
Al (0.2015, 0.4030, 0.5624)  1 Si 2.65, 3 Cr 2.67-2.69, 9 Al 2.78-2.95
Al (0.2015, 0.4030, 0.9376)  1 Si 2.65, 3 Cr 2.67-2.69, 9 Al 2.78-2.95
Al (0.2015, 0.7985, 0.5624)  1 Si 2.65, 3 Cr 2.67-2.69, 9 Al 2.78-2.95
Al (0.2015, 0.7985, 0.9376)  1 Si 2.65, 3 Cr 2.67-2.69, 9 Al 2.78-2.95
Al (0.4030, 0.2015, 0.0624)  1 Si 2.65, 3 Cr 2.67-2.69, 9 Al 2.78-2.95
Al (0.4030, 0.2015, 0.4376)  1 Si 2.65, 3 Cr 2.67-2.69, 9 Al 2.78-2.95
Al (0.4569, 0.5431, 0.2500)  2 Cr 2.45
Al (0.4569, 0.9139, 0.2500)  2 Cr 2.45
Al (0.5431, 0.0861, 0.7500)  2 Cr 2.45
Al (0.5431, 0.4569, 0.7500)  2 Cr 2.45
Al (0.5970, 0.7985, 0.5624)  1 Si 2.65, 3 Cr 2.67-2.69, 9 Al 2.78-2.95
Al (0.5970, 0.7985, 0.9376)  1 Si 2.65, 3 Cr 2.67-2.69, 9 Al 2.78-2.95
Al (0.7985, 0.2015, 0.0624)  1 Si 2.65, 3 Cr 2.67-2.69, 9 Al 2.78-2.95
Al (0.7985, 0.2015, 0.4376)  1 Si 2.65, 3 Cr 2.67-2.69, 9 Al 2.78-2.95
Al (0.7985, 0.5970, 0.0624)  1 Si 2.65, 3 Cr 2.67-2.69, 9 Al 2.78-2.95
Al (0.7985, 0.5970, 0.4376)  1 Si 2.65, 3 Cr 2.67-2.69, 9 Al 2.78-2.95
Al (0.9139, 0.4569, 0.7500)  2 Cr 2.45
Cr (0.1151, 0.2303, 0.2500)  2 Si 2.44, 8 Al 2.45-2.69, 2 Cr 2.57
Cr (0.1151, 0.8849, 0.2500)  2 Si 2.44, 8 Al 2.45-2.69, 2 Cr 2.57
Cr (0.2303, 0.1151, 0.7500)  2 Si 2.44, 8 Al 2.45-2.69, 2 Cr 2.57
Cr (0.7697, 0.8849, 0.2500)  2 Si 2.44, 8 Al 2.45-2.69, 2 Cr 2.57
Cr (0.8849, 0.1151, 0.7500)  2 Si 2.44, 8 Al 2.45-2.69, 2 Cr 2.57
Cr (0.8849, 0.7697, 0.7500)  2 Si 2.44, 8 Al 2.45-2.69, 2 Cr 2.57
Si (0.0000, 0.0000, 0.0000)  6 Cr 2.44, 6 Al 2.65
Si (0.0000, 0.0000, 0.5000)  6 Cr 2.44, 6 Al 2.65

=====

AlCrSi2: optimized geometry, GGA-PBEsol.

Computed properties:
Raw formation energy: 98.1 meV/atom
Mass density: 4.201 g cm⁻³
Density of states at the Fermi level: 2.66 states/eV/f.u.
Total DFT energy (no corrections): -6.359 eV per atom
Total magnetization: 0.31 μB/atom

Unit cell a=2.6744 b=2.6744 c=7.4682 alpha=90.00 beta=90.00 gamma=90.00
With the nearest neighbours (Å) after each atom.
Fractional coordinates of all 4 atoms:
Al (0.0000, 0.0000, 0.0000)  4 Cr 2.60, 4 Al 2.67, 4 Si 2.82
Cr (0.5000, 0.5000, 0.2395)  4 Si 2.48, 4 Al 2.60, 4 Cr 2.67
Si (0.0000, 0.0000, 0.4539)  4 Cr 2.48, 8 Si 2.67-2.75
Si (0.5000, 0.5000, 0.7207)  8 Si 2.67-2.75, 4 Al 2.82

=====

AlCrSi: optimized geometry, GGA-PBEsol.

Computed properties:
Raw formation energy: -3.4 meV/atom
Mass density: 4.611 g cm⁻³
Density of states at the Fermi level: 0.66 states/eV/f.u.
Total DFT energy (no corrections): -6.697 eV per atom
Total magnetization: 0.00 μB/atom

Unit cell a=4.1065 b=4.1065 c=2.6399 alpha=90.00 beta=90.00 gamma=120.00
With the nearest neighbours (Å) after each atom.
Fractional coordinates of all 3 atoms:
Al (0.0000, 0.0000, 0.0000)  2 Al 2.64, 6 Si 2.65-2.78, 6 Cr 2.69-2.74
Cr (0.3333, 0.6667, 0.4827)  3 Si 2.38, 2 Cr 2.64
Si (0.6667, 0.3333, 0.5482)  3 Cr 2.38, 2 Si 2.64, 3 Al 2.65